w:
## MgWIO2 (PBE with a Hubbard U)

Data for an optimized crystal structure of MgWIO2.

a = 4.1138 Å, b = 4.1138 Å, c = 5.5385 Å
α = 90.00°, β = 90.00°, γ = 90.00°
Closest atoms and distances in Å follow each position.
Positions (direct):
Mg1 0.0000 0.0000 0.0000  4 O 2.06
O1 0.0000 0.5000 0.0000  2 Mg 2.06
O2 0.5000 0.0000 0.0000  2 Mg 2.06
W1 0.5000 0.5000 0.5000  4 I 2.91
I1 0.0000 0.0000 0.5000  2 Mg 2.77, 4 W 2.91

Theoretical density = 6.5 g/cm³
Space-group type = P4/mmm


x:
## MgWIO2 (PBE with a Hubbard U)

Data for an optimized crystal structure of MgWIO2.

a = 4.0091 Å, b = 4.0091 Å, c = 7.1927 Å
α = 90.00°, β = 90.00°, γ = 90.00°
Closest atoms and distances in Å follow each position.
Positions (direct):
I1 0.0000 0.0000 0.5000  4 Mg 2.83
W1 0.0000 0.0000 0.0000  4 O 2.00
O1 0.0000 0.5000 0.0000  2 W 2.00
O2 0.5000 0.0000 0.0000  2 W 2.00
Mg1 0.5000 0.5000 0.5000  4 I 2.83

Theoretical density = 5.3 g/cm³
Space-group type = P4/mmm


Going by the energies, x is most stable and the next is 79.5 kJ/mol of atoms up.